Y2Si3: relaxed, GGA-PBE.

Results
magnetization: 0.00 μB/f.u.
VASP energy: -6.4697 eV/atom
energy relative to the elements, uncorrected: -0.630 eV/atom

Cell: 7.428 7.428 7.428 Å, 149.89 148.46 44.17°
Atoms (fractional coordinates):
Y (0.000, 0.000, 0.000)
Y (0.755, 0.255, 0.500)
Si (0.324, 0.824, 0.500)
Si (0.426, 0.426, 0.000)
Si (0.595, 0.595, 0.000)